Below is Rb2CrAg after structural relaxation, with properties calculated at the PBE-GGA level.

Computed properties:
- Magnetic moment: 20.02 Bohr magnetons per cell
- ΔH_f (0 K): 0.649 eV/atom
- DFT total energy: -2.95 eV/atom

a b c (Å): 12.8293 12.8293 5.3835
angles (deg): 90.00 90.00 90.00
Space group I-42d (No. 122)
Unique sites:
Rb 0.0864 0.2500 0.1250 (multiplicity 8)
Cr 0.0000 0.0000 0.5000 (multiplicity 4)
Ag 0.0000 0.0000 0.0000 (multiplicity 4)